[1]
Material: Hf2TiB2
Method: DFT, GGA-PBE
State: relaxed

Values from the calculation:
- DFT total energy: -8.78 eV/atom
- Excess energy over the best structure of this formula in the dataset: 4 meV per atom
- Volume: 13.75 A^3/atom

Lattice parameters (Å, degrees): 6.317 6.317 3.446 90.00 90.00 90.00
Fractional coordinates of all 10 atoms:
Hf 0.181 0.319 0.000
Hf 0.319 0.819 0.000
Hf 0.681 0.181 0.000
Hf 0.819 0.681 0.000
Ti 0.000 0.000 0.500
Ti 0.500 0.500 0.500
B 0.102 0.602 0.500
B 0.398 0.102 0.500
B 0.602 0.898 0.500
B 0.898 0.398 0.500

---

[2]
Material: HfTi3B
Method: DFT, GGA-PBE
State: relaxed

Values from the calculation:
- DFT total energy: -8.09 eV/atom
- Excess energy over the best structure of this formula in the dataset: 0 meV per atom
- Volume: 16.84 A^3/atom

Lattice parameters (Å, degrees): 4.383 4.383 4.383 90.00 90.00 90.00
Fractional coordinates of all 5 atoms:
Hf 0.000 0.000 0.000
Ti 0.000 0.500 0.500
Ti 0.500 0.000 0.500
Ti 0.500 0.500 0.000
B 0.500 0.500 0.500

---

Copy entry 1 word for word.
Material: Hf2TiB2
Method: DFT, GGA-PBE
State: relaxed

Values from the calculation:
- DFT total energy: -8.78 eV/atom
- Excess energy over the best structure of this formula in the dataset: 4 meV per atom
- Volume: 13.75 A^3/atom

Lattice parameters (Å, degrees): 6.317 6.317 3.446 90.00 90.00 90.00
Fractional coordinates of all 10 atoms:
Hf 0.181 0.319 0.000
Hf 0.319 0.819 0.000
Hf 0.681 0.181 0.000
Hf 0.819 0.681 0.000
Ti 0.000 0.000 0.500
Ti 0.500 0.500 0.500
B 0.102 0.602 0.500
B 0.398 0.102 0.500
B 0.602 0.898 0.500
B 0.898 0.398 0.500

---

Please write out number 2 again, unchanged.
Material: HfTi3B
Method: DFT, GGA-PBE
State: relaxed

Values from the calculation:
- DFT total energy: -8.09 eV/atom
- Excess energy over the best structure of this formula in the dataset: 0 meV per atom
- Volume: 16.84 A^3/atom

Lattice parameters (Å, degrees): 4.383 4.383 4.383 90.00 90.00 90.00
Fractional coordinates of all 5 atoms:
Hf 0.000 0.000 0.000
Ti 0.000 0.500 0.500
Ti 0.500 0.000 0.500
Ti 0.500 0.500 0.000
B 0.500 0.500 0.500

---

- Which value of excess energy over the best structure of this formula in the dataset does entry 1 give?
  4 meV per atom